Crystalline Cs4Cd5Au2 at its relaxed geometry. Source: Alexandria via LeMat-Bulk, functional PBE.

abc: 7.9350 5.4627 10.4727
angles: 90.00 93.29 90.00
Fractional coordinates of all 11 atoms:
1 Cs 0.1875 0.0000 0.3704
2 Cs 0.2405 0.0000 0.9364
3 Cs 0.7595 0.0000 0.0636
4 Cs 0.8125 0.0000 0.6296
5 Cd 0.1970 0.5000 0.6756
6 Cd 0.4298 0.5000 0.1926
7 Cd 0.5000 0.5000 0.5000
8 Cd 0.5702 0.5000 0.8074
9 Cd 0.8030 0.5000 0.3244
10 Au 0.0662 0.5000 0.1354
11 Au 0.9338 0.5000 0.8646

Properties
* space group: P2/m (10)
* energy of formation from the pure elements: -0.104 eV/atom
* Fermi-level density of states: 4.087 states/eV/f.u.
* crystal system: monoclinic
* total magnetization: 0.00 μB per formula unit
* total DFT energy (no corrections): -1.426 eV/atom